(1)
Below is VCu3P4O16 at its PBEsol-relaxed geometry, with properties calculated at the meta-GGA SCAN level.

a b c (Å): 4.800 5.806 9.673
angles (deg): 90.00 91.01 90.00
Element x y z (fractional)
V 0.000 0.000 0.000
Cu 0.090 0.500 0.557
Cu 0.451 0.500 0.065
Cu 0.631 0.000 0.496
P 0.142 0.000 0.677
P 0.432 0.000 0.184
P 0.627 0.500 0.377
P 0.964 0.500 0.871
O 0.185 0.000 0.844
O 0.263 0.198 0.108
O 0.263 0.802 0.108
O 0.279 0.500 0.891
O 0.291 0.212 0.620
O 0.291 0.788 0.620
O 0.313 0.500 0.395
O 0.397 0.000 0.337
O 0.683 0.500 0.221
O 0.737 0.000 0.140
O 0.790 0.298 0.450
O 0.790 0.702 0.450
O 0.825 0.000 0.664
O 0.834 0.284 0.949
O 0.834 0.716 0.949
O 0.866 0.500 0.722

Results
- Fermi-level density of states: 1.5 states/eV/f.u.
- E_form (uncorrected): -1935 meV per atom

***

(2)
Below is ZnCuP2O7 at its PBEsol-relaxed geometry, with properties calculated at the meta-GGA SCAN level.

a b c (Å): 6.078 6.275 7.141
angles (deg): 69.88 75.78 80.93
Element x y z (fractional)
Zn 0.059 0.215 0.303
Zn 0.941 0.785 0.697
Cu 0.337 0.407 0.724
Cu 0.663 0.593 0.276
P 0.159 0.710 0.265
P 0.400 0.862 0.826
P 0.600 0.138 0.174
P 0.841 0.290 0.735
O 0.011 0.436 0.754
O 0.043 0.871 0.387
O 0.250 0.879 0.044
O 0.264 0.715 0.765
O 0.349 0.550 0.354
O 0.368 0.251 0.135
O 0.396 0.107 0.690
O 0.604 0.893 0.310
O 0.632 0.749 0.865
O 0.651 0.450 0.646
O 0.736 0.285 0.235
O 0.750 0.121 0.956
O 0.957 0.129 0.613
O 0.989 0.564 0.246

Results
- Fermi-level density of states: 0.0 states/eV/f.u.
- E_form (uncorrected): -2048 meV per atom
- Offset from the most stable computed form: 0.013 eV/atom